[1]
Entry from the Alexandria database: LiB2H8 after structural relaxation (GGA-PBE).

Properties
D(E_F) ... 2.33 states/eV per cell
E_tot ... -170.239 eV/cell
Excess energy over the best structure of this formula in the dataset ... 0.000 eV/atom
Calculated volume ... 410.8 Å³ per cell

Cell: 11.216 6.439 7.578 Å, 90.00 131.35 90.00°
Space group C2/c (No. 15)
One atom of each set of equivalent atoms:
Li: 0.000 0.000 0.250 (multiplicity 4)
B: 0.053 0.220 0.052 (multiplicity 8)
H: 0.002 0.421 0.002 (multiplicity 8)
H: 0.084 0.157 0.582 (multiplicity 8)
H: 0.131 0.205 0.262 (multiplicity 8)
H: 0.131 0.205 0.995 (multiplicity 8)

---

[2]
Entry from the Alexandria database: LiBH2 after structural relaxation (GGA-PBE).

Properties
E_tot ... -58.496 eV/cell
Excess energy over the best structure of this formula in the dataset ... 0.477 eV/atom
Calculated volume ... 137.7 Å³ per cell

Cell: 8.354 3.025 5.450 Å, 90.00 90.00 90.00°
Space group Pnma (No. 62)
One atom of each set of equivalent atoms:
Li: 0.228 0.250 0.167 (multiplicity 4)
B: 0.044 0.750 0.922 (multiplicity 4)
H: 0.008 0.250 0.290 (multiplicity 4)
H: 0.090 0.250 0.932 (multiplicity 4)

---

[3]
Entry from the Alexandria database: LiBH2 after structural relaxation (GGA-PBE).

Properties
D(E_F) ... 0.00 states/eV per cell
E_tot ... -66.033 eV/cell
Excess energy over the best structure of this formula in the dataset ... 0.006 eV/atom
Calculated volume ... 120.5 Å³ per cell

Cell: 8.139 3.087 6.076 Å, 90.00 127.86 90.00°
Space group C2/m (No. 12)
One atom of each set of equivalent atoms:
Li: 0.000 0.000 0.000 (multiplicity 2)
Li: 0.000 0.000 0.500 (multiplicity 2)
B: 0.194 0.500 0.410 (multiplicity 4)
H: 0.000 0.500 0.281 (multiplicity 4)
H: 0.199 0.500 0.205 (multiplicity 4)

---

[4]
Entry from the Alexandria database: RbLiMgB4H16 after structural relaxation (GGA-PBE).

Properties
D(E_F) ... 0.00 states/eV per cell
E_tot ... -369.063 eV/cell
Calculated volume ... 949.0 Å³ per cell

Cell: 8.139 9.448 12.341 Å, 90.00 90.00 90.00°
Space group Aea2 (No. 41)
One atom of each set of equivalent atoms:
Rb: 0.000 0.000 0.000 (multiplicity 4)
Li: 0.000 0.000 0.644 (multiplicity 4)
Mg: 0.000 0.000 0.357 (multiplicity 4)
B: 0.101 0.167 0.495 (multiplicity 8)
B: 0.245 0.498 0.747 (multiplicity 8)
H: 0.014 0.197 0.415 (multiplicity 8)
H: 0.018 0.188 0.576 (multiplicity 8)
H: 0.131 0.083 0.232 (multiplicity 8)
H: 0.136 0.068 0.774 (multiplicity 8)
H: 0.148 0.043 0.492 (multiplicity 8)
H: 0.216 0.410 0.819 (multiplicity 8)
H: 0.222 0.243 0.492 (multiplicity 8)
H: 0.235 0.430 0.164 (multiplicity 8)